[1]
The following is a DFT calculation (PBE) of a relaxed structure of K2SiPb.

Calculated values
- E_tot (eV/f.u.) = -11.2
- relative energy among the computed polymorphs (meV/atom) = 2.1
- V (Å³ per atom) = 38.0
- uncorrected formation energy (eV/atom) = 0.03
- total moment (μB per atom) = 0.00

Cell: 4.3361 5.4715 6.9741 Å, 66.81 90.00 90.00°
With the nearest neighbours (Å) after each atom.
Fractional coordinates of all 4 atoms:
1 Si 0.5000 0.5586 0.7611  2 Pb 2.71
2 Pb 0.0000 0.6820 0.5085  2 Si 2.71
3 K 0.5000 0.2786 0.3182  3 Si 3.57-3.95, 4 Pb 3.69-3.70
4 K 0.0000 0.9808 0.9122  4 Si 3.62-3.63, 3 Pb 3.76-3.82

***

[2]
The following is a DFT calculation (PBE) of a relaxed structure of KSiPb.

Calculated values
- E_tot (eV/f.u.) = -7.6
- relative energy among the computed polymorphs (meV/atom) = 870.8
- V (Å³ per atom) = 33.2
- uncorrected formation energy (eV/atom) = 0.87
- total moment (μB per atom) = 0.00

Cell: 5.2051 5.2051 5.2051 Å, 60.00 60.00 60.00°
With the nearest neighbours (Å) after each atom.
Fractional coordinates of all 3 atoms:
1 Pb 0.0000 0.0000 0.0000  4 K 3.19
2 Si 0.5000 0.5000 0.5000  4 K 3.19
3 K 0.7500 0.7500 0.7500  4 Si 3.19, 4 Pb 3.19

***

[3]
The following is a DFT calculation (PBE) of a relaxed structure of KSi2Pb2.

Calculated values
- E_tot (eV/f.u.) = -18.2
- relative energy among the computed polymorphs (meV/atom) = 70.8
- V (Å³ per atom) = 31.5
- uncorrected formation energy (eV/atom) = 0.24
- total moment (μB per atom) = 0.00

Cell: 4.4443 4.4443 8.5631 Å, 74.96 74.96 90.00°
With the nearest neighbours (Å) after each atom.
Fractional coordinates of all 5 atoms:
1 Pb 0.6378 0.6378 0.7243  4 Si 2.85
2 Pb 0.3622 0.3622 0.2757  4 Si 2.85
3 Si 0.2500 0.7500 0.5000  4 Pb 2.85, 4 Si 3.14
4 Si 0.7500 0.2500 0.5000  4 Pb 2.85, 4 Si 3.14
5 K 0.0000 0.0000 0.0000  8 Pb 3.83

***

[4]
The following is a DFT calculation (PBE) of a relaxed structure of KSi2Pb2.

Calculated values
- E_tot (eV/f.u.) = -18.3
- relative energy among the computed polymorphs (meV/atom) = 37.8
- V (Å³ per atom) = 29.1
- uncorrected formation energy (eV/atom) = 0.20
- total moment (μB per atom) = 0.00

Cell: 8.4302 8.4302 4.0969 Å, 90.00 90.00 90.00°
With the nearest neighbours (Å) after each atom.
Fractional coordinates of all 10 atoms:
1 Pb 0.1526 0.6526 0.5000  4 Si 3.00
2 Pb 0.3474 0.1526 0.5000  4 Si 3.00
3 Pb 0.8474 0.3474 0.5000  4 Si 3.00
4 Pb 0.6526 0.8474 0.5000  4 Si 3.00
5 Si 0.1014 0.3986 0.0000  1 Si 2.42
6 Si 0.6014 0.1014 0.0000  1 Si 2.42
7 Si 0.3986 0.8986 0.0000  1 Si 2.42
8 Si 0.8986 0.6014 0.0000  1 Si 2.42
9 K 0.0000 0.0000 0.0000  4 Si 3.47, 8 Pb 3.80
10 K 0.5000 0.5000 0.0000  4 Si 3.47, 8 Pb 3.80

***

> The lowest V belongs to which entry?

number 4

***

> relative energy among the computed polymorphs of number 3 (KSi2Pb2)?

70.8 meV/atom

***

> The lowest uncorrected formation energy belongs to which entry?

K2SiPb